PrNd2Ho4: relaxed, PBE-GGA.

Cell: 6.8964 10.4160 7.0189 Å, 90.00 106.58 90.00°
Last column: nearest neighbours and their distance in Å.
Atoms (fractional coordinates):
1 Pr 0.0000 0.0000 0.0000  4 Ho 3.34, 2 Pr 3.45, 2 Nd 3.51
2 Pr 0.5000 0.0000 0.0000  8 Ho 3.42-3.81, 2 Pr 3.45
3 Nd 0.0000 0.0000 0.5000  8 Ho 3.45-3.81, 2 Pr 3.51
4 Nd 0.0000 0.5000 0.0000  8 Ho 3.44-3.80, 2 Nd 3.51
5 Nd 0.0000 0.5000 0.5000  4 Ho 3.33, 4 Nd 3.45-3.51
6 Nd 0.5000 0.5000 0.5000  8 Ho 3.41-3.79, 2 Nd 3.45
7 Ho 0.2695 0.2198 0.3107  1 Pr 3.34, 2 Nd 3.41-3.45, 5 Ho 3.51-3.63
8 Ho 0.2701 0.2821 0.8105  2 Nd 3.33-3.44, 1 Pr 3.42, 5 Ho 3.51-3.63
9 Ho 0.2701 0.7179 0.8105  2 Nd 3.33-3.44, 1 Pr 3.42, 5 Ho 3.51-3.63
10 Ho 0.2695 0.7802 0.3107  1 Pr 3.34, 2 Nd 3.41-3.45, 5 Ho 3.51-3.63
11 Ho 0.7305 0.2198 0.6893  1 Pr 3.34, 2 Nd 3.41-3.45, 5 Ho 3.51-3.63
12 Ho 0.7299 0.2821 0.1895  2 Nd 3.33-3.44, 1 Pr 3.42, 5 Ho 3.51-3.63
13 Ho 0.7299 0.7179 0.1895  2 Nd 3.33-3.44, 1 Pr 3.42, 5 Ho 3.51-3.63
14 Ho 0.7305 0.7802 0.6893  1 Pr 3.34, 2 Nd 3.41-3.45, 5 Ho 3.51-3.63

## Properties
Density of states at the Fermi level ... 9.20 states/eV/f.u.
Spin magnetization ... 0.00 Bohr magnetons per cell
Energy above the most stable polymorph in this dataset ... 88.3 meV per atom
DFT total energy ... -4.45 eV/atom

Pr3Nd6Ho: relaxed, PBE-GGA.

Cell: 11.2119 11.2119 6.5437 Å, 90.00 90.00 120.71°
Last column: nearest neighbours and their distance in Å.
Atoms (fractional coordinates):
1 Pr 0.1152 0.8848 0.5000  7 Nd 3.51-3.92, 2 Pr 3.69, 1 Ho 3.78
2 Pr 0.2088 0.4421 0.8837  1 Ho 3.33, 6 Nd 3.36-3.63, 1 Pr 3.69
3 Pr 0.4421 0.2088 0.3837  1 Ho 3.33, 6 Nd 3.36-3.63, 1 Pr 3.69
4 Pr 0.5579 0.7912 0.8837  1 Ho 3.33, 6 Nd 3.36-3.63, 1 Pr 3.69
5 Pr 0.7912 0.5579 0.3837  1 Ho 3.33, 6 Nd 3.36-3.63, 1 Pr 3.69
6 Pr 0.8848 0.1152 0.0000  7 Nd 3.51-3.92, 2 Pr 3.69, 1 Ho 3.78
7 Nd 0.0248 0.4421 0.2896  3 Nd 3.19-3.54, 2 Pr 3.36-3.52, 1 Ho 3.38
8 Nd 0.1285 0.2129 0.4779  3 Pr 3.48-3.61, 5 Nd 3.54-3.87
9 Nd 0.2129 0.1285 0.9779  3 Pr 3.48-3.61, 5 Nd 3.54-3.87
10 Nd 0.2235 0.7765 0.0707  4 Nd 3.19-3.54, 1 Ho 3.46, 1 Pr 3.51
11 Nd 0.4421 0.0248 0.7896  3 Nd 3.19-3.54, 2 Pr 3.36-3.52, 1 Ho 3.38
12 Nd 0.4653 0.5347 0.2835  1 Ho 3.47, 4 Nd 3.54-3.87, 4 Pr 3.59-3.63
13 Nd 0.5347 0.4653 0.7835  1 Ho 3.47, 4 Nd 3.54-3.87, 4 Pr 3.59-3.63
14 Nd 0.5579 0.9752 0.2896  3 Nd 3.19-3.54, 2 Pr 3.36-3.52, 1 Ho 3.38
15 Nd 0.7765 0.2235 0.5707  4 Nd 3.19-3.54, 1 Ho 3.46, 1 Pr 3.51
16 Nd 0.7871 0.8715 0.4779  3 Pr 3.48-3.61, 5 Nd 3.54-3.87
17 Nd 0.8715 0.7871 0.9779  3 Pr 3.48-3.61, 5 Nd 3.54-3.87
18 Nd 0.9752 0.5579 0.7896  3 Nd 3.19-3.54, 2 Pr 3.36-3.52, 1 Ho 3.38
19 Ho 0.3086 0.6914 0.5342  2 Pr 3.33, 6 Nd 3.38-3.65
20 Ho 0.6914 0.3086 0.0342  2 Pr 3.33, 6 Nd 3.38-3.65

## Properties
Density of states at the Fermi level ... 13.04 states/eV/f.u.
Spin magnetization ... 0.00 Bohr magnetons per cell
Energy above the most stable polymorph in this dataset ... 0.0 meV per atom
DFT total energy ... -4.62 eV/atom

PrNd12Ho6: relaxed, PBE-GGA.

Cell: 8.6976 8.6976 8.6976 Å, 88.88 88.88 88.88°
Last column: nearest neighbours and their distance in Å.
Atoms (fractional coordinates):
1 Pr 0.0000 0.0000 0.0000  6 Ho 3.52, 6 Nd 3.63
2 Nd 0.0174 0.1966 0.3630  4 Nd 3.47-3.65, 4 Ho 3.55-3.71, 1 Pr 3.63
3 Nd 0.1966 0.3630 0.0174  4 Nd 3.47-3.65, 4 Ho 3.55-3.71, 1 Pr 3.63
4 Nd 0.2190 0.4638 0.5671  4 Nd 3.36-3.62, 3 Ho 3.37-3.51
5 Nd 0.3630 0.0174 0.1966  4 Nd 3.47-3.65, 4 Ho 3.55-3.71, 1 Pr 3.63
6 Nd 0.4329 0.7810 0.5362  4 Nd 3.36-3.62, 3 Ho 3.37-3.51
7 Nd 0.4638 0.5671 0.2190  4 Nd 3.36-3.62, 3 Ho 3.37-3.51
8 Nd 0.5362 0.4329 0.7810  4 Nd 3.36-3.62, 3 Ho 3.37-3.51
9 Nd 0.5671 0.2190 0.4638  4 Nd 3.36-3.62, 3 Ho 3.37-3.51
10 Nd 0.6370 0.9826 0.8034  4 Nd 3.47-3.65, 4 Ho 3.55-3.71, 1 Pr 3.63
11 Nd 0.7810 0.5362 0.4329  4 Nd 3.36-3.62, 3 Ho 3.37-3.51
12 Nd 0.8034 0.6370 0.9826  4 Nd 3.47-3.65, 4 Ho 3.55-3.71, 1 Pr 3.63
13 Nd 0.9826 0.8034 0.6370  4 Nd 3.47-3.65, 4 Ho 3.55-3.71, 1 Pr 3.63
14 Ho 0.0996 0.7004 0.2586  7 Nd 3.37-3.71, 1 Pr 3.52, 2 Ho 3.55
15 Ho 0.2586 0.0996 0.7004  7 Nd 3.37-3.71, 1 Pr 3.52, 2 Ho 3.55
16 Ho 0.2996 0.7414 0.9004  7 Nd 3.37-3.71, 1 Pr 3.52, 2 Ho 3.55
17 Ho 0.7004 0.2586 0.0996  7 Nd 3.37-3.71, 1 Pr 3.52, 2 Ho 3.55
18 Ho 0.7414 0.9004 0.2996  7 Nd 3.37-3.71, 1 Pr 3.52, 2 Ho 3.55
19 Ho 0.9004 0.2996 0.7414  7 Nd 3.37-3.71, 1 Pr 3.52, 2 Ho 3.55

## Properties
Density of states at the Fermi level ... 31.38 states/eV/f.u.
Spin magnetization ... 0.00 Bohr magnetons per cell
Energy above the most stable polymorph in this dataset ... 0.0 meV per atom
DFT total energy ... -4.58 eV/atom